1.
{
  "formula": "MgTaCo2",
  "functional": "PBE",
  "state": "optimized geometry",
  "final_energy_ev_per_cell": -27.9,
  "vol_a3_per_atom": 13.85,
  "ef_ev_per_atom": -0.07,
  "total_magnetization_mub_per_fu": 1.030,
  "lattice": [[4.3152, 0.0000, 0.0000], [0.0000, 4.3152, 0.0000], [0.0000, 0.0000, 2.9747]],
  "species": ["Mg", "Ta", "Co", "Co"],
  "frac_coords": [[0.0000, 0.0000, 0.0000], [0.5000, 0.5000, 0.0000], [0.0000, 0.5000, 0.5000], [0.5000, 0.0000, 0.5000]]
}

=====

2.
{
  "formula": "Mg3TaCo",
  "functional": "PBE",
  "state": "optimized geometry",
  "final_energy_ev_per_cell": -19.2,
  "vol_a3_per_atom": 19.32,
  "ef_ev_per_atom": 0.91,
  "total_magnetization_mub_per_fu": 0.000,
  "lattice": [[4.5885, 0.0000, 0.0000], [0.0000, 4.5885, 0.0000], [0.0000, 0.0000, 4.5885]],
  "species": ["Mg", "Mg", "Mg", "Ta", "Co"],
  "frac_coords": [[0.0000, 0.0000, 0.5000], [0.0000, 0.5000, 0.0000], [0.5000, 0.0000, 0.0000], [0.5000, 0.5000, 0.5000], [0.0000, 0.0000, 0.0000]]
}

=====

3.
{
  "formula": "MgTaCo",
  "functional": "PBE",
  "state": "optimized geometry",
  "final_energy_ev_per_cell": -19.8,
  "vol_a3_per_atom": 16.71,
  "ef_ev_per_atom": 0.24,
  "total_magnetization_mub_per_fu": 0.001,
  "lattice": [[2.9793, 0.0000, 0.0000], [-1.4897, 2.5802, 0.0000], [0.0000, 0.0000, 6.5226]],
  "species": ["Mg", "Ta", "Co"],
  "frac_coords": [[0.0000, 0.0000, 0.0000], [0.6667, 0.3333, 0.4012], [0.3333, 0.6667, 0.6729]]
}

=====

4.
{
  "formula": "MgTaCo2",
  "functional": "PBE",
  "state": "optimized geometry",
  "final_energy_ev_per_cell": -26.9,
  "vol_a3_per_atom": 14.75,
  "ef_ev_per_atom": 0.19,
  "total_magnetization_mub_per_fu": 0.612,
  "lattice": [[3.2864, 0.0000, 0.0000], [0.0000, 3.2864, 0.0000], [0.0000, 0.0000, 5.4620]],
  "species": ["Mg", "Ta", "Co", "Co"],
  "frac_coords": [[0.0000, 0.0000, 0.0000], [0.5000, 0.5000, 0.3510], [0.0000, 0.0000, 0.5158], [0.5000, 0.5000, 0.7874]]
}